# LaTcO3 GGA-PBE relaxed
# VASP energy ... -7.45 eV/atom
# Density ... 6.42 g cm⁻³
data_LaTcO3
_cell_length_a 3.6818
_cell_length_b 3.6818
_cell_length_c 5.4330
_cell_angle_alpha 90.00
_cell_angle_beta 90.00
_cell_angle_gamma 90.00
_symmetry_space_group_name_H-M 'P 4 m m'
_symmetry_Int_Tables_number 99
_symmetry_space_group_name_Hall 'P 4 -2'
loop_
_atom_site_label
_atom_site_fract_x
_atom_site_fract_y
_atom_site_fract_z
_atom_site_occupancy
La1 0.0000 0.0000 0.0000 1
Tc1 0.5000 0.5000 0.5744 1
O1 0.0000 0.0000 0.3900 1
O2 0.0000 0.5000 0.7359 1

# LaTcO3 GGA-PBE relaxed
# VASP energy ... -8.09 eV/atom
# Density ... 6.77 g cm⁻³
data_LaTcO3
_cell_length_a 5.7208
_cell_length_b 5.7208
_cell_length_c 14.7884
_cell_angle_alpha 90.00
_cell_angle_beta 90.00
_cell_angle_gamma 120.00
_symmetry_space_group_name_H-M 'R -3'
_symmetry_Int_Tables_number 148
_symmetry_space_group_name_Hall '-R 3'
loop_
_atom_site_label
_atom_site_fract_x
_atom_site_fract_y
_atom_site_fract_z
_atom_site_occupancy
La1 0.0000 0.0000 0.1339 1
Tc1 0.0000 0.0000 0.3372 1
O1 0.0114 0.3798 0.9258 1

# La6TcO12 GGA-PBE relaxed
# VASP energy ... -8.28 eV/atom
# Density ... 6.23 g cm⁻³
data_La6TcO12
_cell_length_a 10.2404
_cell_length_b 10.2404
_cell_length_c 9.8876
_cell_angle_alpha 90.00
_cell_angle_beta 90.00
_cell_angle_gamma 120.00
_symmetry_space_group_name_H-M 'R -3'
_symmetry_Int_Tables_number 148
_symmetry_space_group_name_Hall '-R 3'
loop_
_atom_site_label
_atom_site_fract_x
_atom_site_fract_y
_atom_site_fract_z
_atom_site_occupancy
La1 0.0482 0.2566 0.1488 1
Tc1 0.0000 0.0000 0.5000 1
O1 0.0381 0.2271 0.9043 1
O2 0.0405 0.1781 0.3930 1

# LaTmTeO2 GGA-PBE relaxed
# VASP energy ... -7.47 eV/atom
# Density ... 7.69 g cm⁻³
data_LaTmTeO2
_cell_length_a 3.9840
_cell_length_b 3.9840
_cell_length_c 12.7156
_cell_angle_alpha 90.00
_cell_angle_beta 90.00
_cell_angle_gamma 90.00
_symmetry_space_group_name_H-M 'I 4 m m'
_symmetry_Int_Tables_number 107
_symmetry_space_group_name_Hall 'I 4 -2'
loop_
_atom_site_label
_atom_site_fract_x
_atom_site_fract_y
_atom_site_fract_z
_atom_site_occupancy
La1 0.0000 0.0000 0.0000 1
Tm1 0.0000 0.0000 0.6785 1
Te1 0.0000 0.0000 0.3381 1
O1 0.0000 0.5000 0.1003 1

# La2Tm2O5 GGA-PBE relaxed
# Offset from the most stable computed form ... 0 meV/atom
# VASP energy ... -7.82 eV/atom
# Density ... 8.11 g cm⁻³
data_La2Tm2O5
_cell_length_a 4.2813
_cell_length_b 4.2813
_cell_length_c 7.7741
_cell_angle_alpha 90.00
_cell_angle_beta 90.00
_cell_angle_gamma 90.00
_symmetry_space_group_name_H-M 'P 4/m m m'
_symmetry_Int_Tables_number 123
_symmetry_space_group_name_Hall '-P 4 2'
loop_
_atom_site_label
_atom_site_fract_x
_atom_site_fract_y
_atom_site_fract_z
_atom_site_occupancy
La1 0.0000 0.0000 0.0000 1
La2 0.0000 0.0000 0.5000 1
Tm1 0.5000 0.5000 0.2323 1
O1 0.0000 0.5000 0.2371 1
O2 0.5000 0.5000 0.5000 1

# La2Tm2O5 GGA-PBE relaxed
# Offset from the most stable computed form ... 801 meV/atom
# VASP energy ... -7.01 eV/atom
# Density ... 7.67 g cm⁻³
data_La2Tm2O5
_cell_length_a 4.3890
_cell_length_b 4.3890
_cell_length_c 7.8229
_cell_angle_alpha 90.00
_cell_angle_beta 90.00
_cell_angle_gamma 90.00
_symmetry_space_group_name_H-M 'P 4/m m m'
_symmetry_Int_Tables_number 123
_symmetry_space_group_name_Hall '-P 4 2'
loop_
_atom_site_label
_atom_site_fract_x
_atom_site_fract_y
_atom_site_fract_z
_atom_site_occupancy
La1 0.0000 0.0000 0.2244 1
Tm1 0.5000 0.5000 0.0000 1
Tm2 0.5000 0.5000 0.5000 1
O1 0.0000 0.0000 0.5000 1
O2 0.0000 0.5000 0.2960 1